# 1
# PBE TaSiP, relaxed
# magnetization	0.000	μB/atom
# N(E_F)	3.47	states/eV/cell
data_TaSiP
_cell_length_a 3.5668
_cell_length_b 4.4223
_cell_length_c 12.6103
_cell_angle_alpha 90.00
_cell_angle_beta 90.00
_cell_angle_gamma 90.00
_space_group_name_H-M_alt 'F m m 2'
_space_group_IT_number 42
_space_group_name_Hall 'F 2 -2'
loop_
_atom_site_label
_atom_site_type_symbol
_atom_site_fract_x
_atom_site_fract_y
_atom_site_fract_z
Ta1 Ta 0.0000 0.0000 0.0000
Si1 Si 0.0000 0.0000 0.6567
P1 P 0.0000 0.0000 0.3539


# 2
# PBE BRhNO2, relaxed
# magnetization	0.000	μB/atom
# N(E_F)	2.80	states/eV/cell
data_BRhNO2
_cell_length_a 3.4317
_cell_length_b 3.4317
_cell_length_c 3.3359
_cell_angle_alpha 90.00
_cell_angle_beta 90.00
_cell_angle_gamma 90.00
_space_group_name_H-M_alt 'P 4/m m m'
_space_group_IT_number 123
_space_group_name_Hall '-P 4 2'
loop_
_atom_site_label
_atom_site_type_symbol
_atom_site_fract_x
_atom_site_fract_y
_atom_site_fract_z
B1 B 0.0000 0.0000 0.0000
Rh1 Rh 0.5000 0.5000 0.5000
N1 N 0.0000 0.0000 0.5000
O1 O 0.0000 0.5000 0.0000


# 3
# PBE Pu2Si3Os, relaxed
# magnetization	1.683	μB/atom
# N(E_F)	34.11	states/eV/cell
data_Pu2Si3Os
_cell_length_a 4.0976
_cell_length_b 4.0976
_cell_length_c 15.7878
_cell_angle_alpha 90.00
_cell_angle_beta 90.00
_cell_angle_gamma 120.00
_space_group_name_H-M_alt 'P 63/m m c'
_space_group_IT_number 194
_space_group_name_Hall '-P 6c 2c'
loop_
_atom_site_label
_atom_site_type_symbol
_atom_site_fract_x
_atom_site_fract_y
_atom_site_fract_z
Pu1 Pu 0.0000 0.0000 0.1287
Si1 Si 0.3333 0.6667 0.0083
Si2 Si 0.3333 0.6667 0.2500
Os1 Os 0.3333 0.6667 0.7500


| no. | uncorrected formation energy (eV/atom) |
| --- | --- |
| 1 | 0.1041 |
| 2 | 0.3619 |
| 3 | -0.3749 |